[1]
First-principles (GGA-PBE) data for BIBrO2 after structural relaxation, as listed in the Alexandria database.

a = 3.8312 Å, b = 3.8312 Å, c = 7.8459 Å
α = 90.00°, β = 90.00°, γ = 90.00°
Space group P4/mmm (No. 123)
One atom of each set of equivalent atoms:
B 0.0000 0.0000 0.0000 [1 per cell]
I 0.5000 0.5000 0.0000 [1 per cell]
Br 0.5000 0.5000 0.5000 [1 per cell]
O 0.0000 0.5000 0.5000 [2 per cell]

As for the density of states at the Fermi level: 3.1 states/eV per cell.



[2]
First-principles (GGA-PBE) data for BPI3Br3 after structural relaxation, as listed in the Alexandria database.

a = 13.6466 Å, b = 12.2691 Å, c = 8.0604 Å
α = 90.00°, β = 90.00°, γ = 90.00°
Space group Pnma (No. 62)
One atom of each set of equivalent atoms:
B 0.1508 0.2500 0.2229 [4 per cell]
P 0.1763 0.2500 0.9740 [4 per cell]
I 0.0237 0.2500 0.8172 [4 per cell]
I 0.2305 0.5901 0.3866 [8 per cell]
Br 0.0724 0.1144 0.2660 [8 per cell]
Br 0.2171 0.7500 0.8260 [4 per cell]

As for the density of states at the Fermi level: 0.0 states/eV per cell.



[3]
First-principles (GGA-PBE) data for Rb2BI6Br after structural relaxation, as listed in the Alexandria database.

a = 9.0366 Å, b = 9.0366 Å, c = 10.7107 Å
α = 90.00°, β = 90.00°, γ = 90.00°
Space group I4/mmm (No. 139)
One atom of each set of equivalent atoms:
Rb 0.0000 0.5000 0.2500 [4 per cell]
B 0.0000 0.0000 0.0000 [2 per cell]
I 0.0000 0.0000 0.1958 [4 per cell]
I 0.2499 0.2499 0.0000 [8 per cell]
Br 0.0000 0.0000 0.5000 [2 per cell]

As for the density of states at the Fermi level: 0.0 states/eV per cell.



[4]
First-principles (GGA-PBE) data for SiB2IBr after structural relaxation, as listed in the Alexandria database.

a = 4.4544 Å, b = 4.4544 Å, c = 6.8597 Å
α = 90.00°, β = 90.00°, γ = 90.00°
Space group P4/mmm (No. 123)
One atom of each set of equivalent atoms:
Si 0.0000 0.0000 0.0000 [1 per cell]
B 0.0000 0.5000 0.5000 [2 per cell]
I 0.5000 0.5000 0.5000 [1 per cell]
Br 0.5000 0.5000 0.0000 [1 per cell]

As for the density of states at the Fermi level: 4.7 states/eV per cell.



Number 1: uncorrected formation energy 109.3 kJ/mol of atoms. Number 2: uncorrected formation energy -28.9 kJ/mol of atoms. Number 3: uncorrected formation energy -29.5 kJ/mol of atoms. Number 4: uncorrected formation energy 211.1 kJ/mol of atoms.